1.
A plane-wave DFT calculation with PBEsol was carried out for PbBr2 after structural relaxation.

The value obtained for the energy relative to the elements, uncorrected is -850 meV/atom.

It has space group C2/m (No. 12), with a = 13.551 Å, b = 4.099 Å, c = 7.513 Å, α = 90.00°, β = 104.78° and γ = 90.00°. The asymmetric unit holds Pb at (0.109, 0.000, 0.306), Br at (0.000, 0.500, 0.000), Br at (0.000, 0.500, 0.500) and Br at (0.234, 0.000, 0.707).

2.
A plane-wave DFT calculation with PBEsol was carried out for BaY2Os after structural relaxation.

The value obtained for the offset from the most stable computed form is 490 meV/atom. For the energy relative to the elements, the calculation gives 223 kJ/mol of formula units.

It has space group I-4m2 (No. 119), with a = 4.423 Å, b = 4.423 Å, c = 10.184 Å, α = 90.00°, β = 90.00° and γ = 90.00°. The asymmetric unit holds Ba at (0.000, 0.000, 0.000), Y at (0.000, 0.000, 0.500), Y at (0.000, 0.500, 0.750) and Os at (0.000, 0.500, 0.250).

3.
A plane-wave DFT calculation with PBEsol was carried out for Hg2TePb after structural relaxation.

The value obtained for the energy relative to the elements, uncorrected is -30 meV/atom. The value obtained for the offset from the most stable computed form is 59 meV/atom.

It has space group I-4m2 (No. 119), with a = 5.467 Å, b = 5.467 Å, c = 7.331 Å, α = 90.00°, β = 90.00° and γ = 90.00°. The asymmetric unit holds Hg at (0.000, 0.000, 0.000), Hg at (0.000, 0.500, 0.250), Te at (0.000, 0.000, 0.500) and Pb at (0.000, 0.500, 0.750).

4.
A plane-wave DFT calculation with PBEsol was carried out for PHRuCl2 after structural relaxation.

The total DFT energy (no corrections) comes out at -4.061 eV per atom.

It has space group P4/mmm (No. 123), with a = 4.849 Å, b = 4.849 Å, c = 4.375 Å, α = 90.00°, β = 90.00° and γ = 90.00°. The asymmetric unit holds P at (0.000, 0.000, 0.000), H at (0.500, 0.500, 0.000), Ru at (0.000, 0.000, 0.500) and Cl at (0.000, 0.500, 0.500).

5.
A plane-wave DFT calculation with PBEsol was carried out for NaCuHgP2 after structural relaxation.

For the energy relative to the elements, the calculation gives 692 kJ/mol of formula units.

It has space group P4/mmm (No. 123), with a = 4.747 Å, b = 4.747 Å, c = 5.067 Å, α = 90.00°, β = 90.00° and γ = 90.00°. The asymmetric unit holds Na at (0.000, 0.000, 0.000), Cu at (0.500, 0.500, 0.500), Hg at (0.000, 0.000, 0.500) and P at (0.000, 0.500, 0.000).

6.
A plane-wave DFT calculation with PBEsol was carried out for BeW after structural relaxation.

The value obtained for the offset from the most stable computed form is 364 meV/atom. For the energy relative to the elements, the calculation gives 31 kJ/mol of formula units.

It has space group C2/m (No. 12), with a = 9.081 Å, b = 2.570 Å, c = 4.340 Å, α = 90.00°, β = 107.42° and γ = 90.00°. The asymmetric unit holds Be at (0.154, 0.000, 0.352) and W at (0.100, 0.500, 0.819).

7.
A plane-wave DFT calculation with PBEsol was carried out for TiHgPt2N after structural relaxation.

The value obtained for the energy relative to the elements, uncorrected is -195 meV/atom.

It has space group P4/mmm (No. 123), with a = 4.288 Å, b = 4.288 Å, c = 3.962 Å, α = 90.00°, β = 90.00° and γ = 90.00°. The asymmetric unit holds Ti at (0.000, 0.000, 0.000), Hg at (0.500, 0.500, 0.000), Pt at (0.000, 0.500, 0.500) and N at (0.000, 0.000, 0.500).

8.
A plane-wave DFT calculation with PBEsol was carried out for Be2Ge2H after structural relaxation.

The total DFT energy (no corrections) comes out at -3.629 eV per atom.

It has space group I4/mmm (No. 139), with a = 3.395 Å, b = 3.395 Å, c = 10.787 Å, α = 90.00°, β = 90.00° and γ = 90.00°. The asymmetric unit holds Be at (0.000, 0.500, 0.250), Ge at (0.000, 0.000, 0.110) and H at (0.000, 0.000, 0.500).

no.,magnetic moment (μB/atom)
1,0.00
2,0.00
3,0.00
4,0.04
5,0.00
6,0.00
7,0.02
8,0.00